Record 1
# BaMn2Tc | the Alexandria database | PBE-GGA | optimized geometry
# * energy: -7.085 eV per atom
# * energy of formation from the pure elements: 221 kJ/mol of formula units
# * distance to the lowest polymorph of the same formula: 0.368 eV/f.u.
data_BaMn2Tc
_chemical_formula_sum 'Ba1 Mn2 Tc1'
_cell_length_a 3.2054
_cell_length_b 3.1900
_cell_length_c 8.1300
_cell_angle_alpha 90.00
_cell_angle_beta 90.07
_cell_angle_gamma 90.00
_space_group_name_H-M_alt 'P 1 2/m 1'
_space_group_IT_number 10
loop_
_space_group_symop_operation_xyz
'x,y,z'
'-x,-y,-z'
'-x,y,-z'
'x,-y,z'
loop_
_atom_site_label
_atom_site_type_symbol
_atom_site_fract_x
_atom_site_fract_y
_atom_site_fract_z
Ba1 Ba 0.0000 0.0000 0.0000
Mn1 Mn 0.4995 0.5000 0.3328
Tc1 Tc 0.0000 0.0000 0.5000


Record 2
# NaCa2Hg8 | the Alexandria database | PBE-GGA | optimized geometry
# * energy: -1.013 eV per atom
# * energy of formation from the pure elements: -329 kJ/mol of formula units
# * distance to the lowest polymorph of the same formula: 0.000 eV/f.u.
data_NaCa2Hg8
_chemical_formula_sum 'Na2 Ca4 Hg16'
_cell_length_a 16.1576
_cell_length_b 5.1153
_cell_length_c 7.3870
_cell_angle_alpha 90.00
_cell_angle_beta 112.15
_cell_angle_gamma 90.00
_space_group_name_H-M_alt 'C 1 2/m 1'
_space_group_IT_number 12
loop_
_space_group_symop_operation_xyz
'x,y,z'
'-x,-y,-z'
'-x,y,-z'
'x,-y,z'
'x+1/2,y+1/2,z'
'-x+1/2,-y+1/2,-z'
'-x+1/2,y+1/2,-z'
'x+1/2,-y+1/2,z'
loop_
_atom_site_label
_atom_site_type_symbol
_atom_site_fract_x
_atom_site_fract_y
_atom_site_fract_z
Na1 Na 0.0000 0.0000 0.0000
Ca1 Ca 0.2102 0.5000 0.6627
Hg1 Hg 0.0180 0.5000 0.7230
Hg2 Hg 0.1048 0.0000 0.4353
Hg3 Hg 0.1539 0.5000 0.1713
Hg4 Hg 0.1598 0.0000 0.8853


Record 3
# Er5In2Hg | the Alexandria database | PBE-GGA | optimized geometry
# * energy: -3.873 eV per atom
# * energy of formation from the pure elements: -231 kJ/mol of formula units
data_Er5In2Hg
_chemical_formula_sum 'Er10 In4 Hg2'
_cell_length_a 6.8741
_cell_length_b 6.8741
_cell_length_c 9.0537
_cell_angle_alpha 90.00
_cell_angle_beta 90.00
_cell_angle_gamma 90.00
_space_group_name_H-M_alt 'I 4 m m'
_space_group_IT_number 107
_space_group_name_Hall 'I 4 -2'
loop_
_atom_site_label
_atom_site_type_symbol
_atom_site_fract_x
_atom_site_fract_y
_atom_site_fract_z
Er1 Er 0.0000 0.0000 0.0000
Er2 Er 0.2499 0.2499 0.2503
In1 In 0.0000 0.5000 0.0003
Hg1 Hg 0.0000 0.0000 0.5012


Record 4
# Y2BePbC | the Alexandria database | PBE-GGA | optimized geometry
# * energy: -5.784 eV per atom
# * energy of formation from the pure elements: 65 kJ/mol of formula units
# * distance to the lowest polymorph of the same formula: 2.330 eV/f.u.
data_Y2BePbC
_chemical_formula_sum 'Y2 Be1 Pb1 C1'
_cell_length_a 5.5888
_cell_length_b 5.5888
_cell_length_c 3.2846
_cell_angle_alpha 90.00
_cell_angle_beta 90.00
_cell_angle_gamma 90.00
_space_group_name_H-M_alt 'P 4/m m m'
_space_group_IT_number 123
_space_group_name_Hall '-P 4 2'
loop_
_atom_site_label
_atom_site_type_symbol
_atom_site_fract_x
_atom_site_fract_y
_atom_site_fract_z
Y1 Y 0.0000 0.5000 0.0000
Be1 Be 0.0000 0.0000 0.0000
Pb1 Pb 0.5000 0.5000 0.5000
C1 C 0.0000 0.0000 0.5000